NdDy7Cd2 (PBE, optimized geometry); N(E_F) = 20.2 states/eV/cell; final energy = -34.68 eV for the cell shown; formation energy from the elements = 0.413 eV per atom
1.0
4.5189 -7.6871 0.0000
4.5189 7.6871 0.0000
0.0000 0.0000 5.3794
Nd Dy Cd
1 7 2
Cartesian
0.0000 0.0000 0.0000
1.6408 1.8465 2.6897
4.5189 4.1046 0.0000
1.6408 -1.8465 2.6897
4.5189 0.0000 2.6897
7.3970 1.8465 2.6897
4.5189 -4.1046 0.0000
7.3970 -1.8465 2.6897
4.5189 3.0185 2.6897
4.5189 -3.0185 2.6897